VASP calculation (PBE) on a geometry-optimized BaReSi2 structure.

Unit cell a=6.0033 b=6.0033 c=6.0033 alpha=150.14 beta=115.34 gamma=72.83
Positions (direct):
Ba1 0.7500 0.2500 0.5000
Re1 0.2500 0.7500 0.5000
Si1 0.0577 0.0577 0.0000
Si2 0.4423 0.4423 0.0000

Results
DFT total energy   -5.943 eV/atom


VASP calculation (PBE) on a geometry-optimized BaReSi4 structure.

Unit cell a=5.3911 b=5.3911 c=5.3911 alpha=60.00 beta=60.00 gamma=60.00
Positions (direct):
Ba1 0.7500 0.7500 0.7500
Re1 0.0000 0.0000 0.0000
Si1 0.8954 0.3682 0.3682
Si2 0.3682 0.3682 0.8954
Si3 0.3682 0.8954 0.3682
Si4 0.3682 0.3682 0.3682

Results
DFT total energy   -5.210 eV/atom


VASP calculation (PBE) on a geometry-optimized BaReSi2 structure.

Unit cell a=3.2293 b=3.2293 c=7.5338 alpha=90.00 beta=90.00 gamma=90.00
Positions (direct):
Ba1 0.5000 0.5000 0.2500
Re1 0.5000 0.5000 0.7500
Si1 0.0000 0.0000 0.9211
Si2 0.0000 0.0000 0.5789

Results
DFT total energy   -6.327 eV/atom


VASP calculation (PBE) on a geometry-optimized BaReSi structure.

Unit cell a=4.0014 b=4.0014 c=10.4996 alpha=90.00 beta=90.00 gamma=90.00
Positions (direct):
Si1 0.5000 0.0000 0.6427
Si2 0.0000 0.5000 0.3573
Ba1 0.5000 0.0000 0.1990
Ba2 0.0000 0.5000 0.8010
Re1 0.5000 0.5000 0.5000
Re2 0.0000 0.0000 0.5000

Results
Energy above the most stable polymorph in this dataset   0.0 kJ/mol of formula units


VASP calculation (PBE) on a geometry-optimized BaReSi2 structure.

Unit cell a=5.4877 b=5.4877 c=8.4006 alpha=70.94 beta=70.94 gamma=90.00
Positions (direct):
Re1 0.0000 0.0000 0.0000
Re2 0.7500 0.2500 0.5000
Si1 0.8751 0.1250 0.2500
Si2 0.8749 0.6250 0.2500
Si3 0.3750 0.1249 0.7500
Si4 0.8750 0.1251 0.7500
Ba1 0.5000 0.5000 0.0000
Ba2 0.2500 0.7500 0.5000

Results
DFT total energy   -6.420 eV/atom


VASP calculation (PBE) on a geometry-optimized BaReSi2 structure.

Unit cell a=6.3939 b=6.3939 c=6.3939 alpha=38.47 beta=38.47 gamma=38.47
Positions (direct):
Ba1 0.2500 0.2500 0.2500
Re1 0.7500 0.7500 0.7500
Si1 0.0516 0.0516 0.0516
Si2 0.4484 0.4484 0.4484

Results
DFT total energy   -6.444 eV/atom


VASP calculation (PBE) on a geometry-optimized BaRe2Si2 structure.

Unit cell a=4.5500 b=4.5500 c=5.8422 alpha=67.08 beta=67.08 gamma=90.00
Positions (direct):
Re1 0.3775 0.3775 0.2451
Re2 0.6225 0.6225 0.7549
Si1 0.7500 0.2500 0.5000
Si2 0.2500 0.7500 0.5000
Ba1 0.0000 0.0000 0.0000

Results
DFT total energy   -7.388 eV/atom


VASP calculation (PBE) on a geometry-optimized BaReSi2 structure.

Unit cell a=5.0938 b=5.0938 c=3.2769 alpha=78.99 beta=78.99 gamma=97.61
Positions (direct):
Ba1 0.5000 0.0000 0.5000
Re1 0.0000 0.5000 0.5000
Si1 0.0000 0.0000 0.0000
Si2 0.5000 0.5000 0.0000

Results
DFT total energy   -5.330 eV/atom